[1]
5
Lattice="4.668 0.000 0.000 0.000 4.668 0.000 0.000 0.000 5.337" Properties=species:S:1:pos:R:3 comment="PBE-GGA NbTc2BiRh, relaxed" delta_e_f_ev_per_fu=8.670 magnetic_moment_mub_per_fu=1.48 spacegroup="P4/mmm (123)" dos_at_fermi_per_ev_cell=8.2 e_tot_ev_per_atom=-6.673 pbc="T T T"
Nb 0.000 0.000 0.000
Tc 0.000 2.334 0.000
Tc 2.334 0.000 0.000
Bi 0.000 0.000 2.668
Rh 2.334 2.334 2.668

[2]
20
Lattice="4.144 0.000 0.000 0.000 4.144 0.000 0.000 0.000 22.195" Properties=species:S:1:pos:R:3 comment="PBE-GGA Li15MgIn4, relaxed" delta_e_f_ev_per_fu=-3.298 magnetic_moment_mub_per_fu=0.00 spacegroup="P4/mmm (123)" dos_at_fermi_per_ev_cell=6.4 e_tot_ev_per_atom=-2.228 pbc="T T T"
Li 0.000 0.000 0.000
Li 0.000 0.000 4.457
Li 0.000 0.000 8.882
Li 0.000 0.000 13.313
Li 0.000 0.000 17.738
Li 0.000 2.072 2.290
Li 0.000 2.072 6.652
Li 0.000 2.072 11.097
Li 0.000 2.072 15.543
Li 0.000 2.072 19.905
Li 2.072 0.000 2.290
Li 2.072 0.000 6.652
Li 2.072 0.000 11.097
Li 2.072 0.000 15.543
Li 2.072 0.000 19.905
Mg 2.072 2.072 0.000
In 2.072 2.072 4.488
In 2.072 2.072 8.842
In 2.072 2.072 13.353
In 2.072 2.072 17.706

[3]
14
Lattice="2.489 -4.711 0.000 2.489 4.711 0.000 0.000 0.000 7.037" Properties=species:S:1:pos:R:3 comment="PBE-GGA PmAgBO4, relaxed" e_form_raw_ev_per_atom=-2.03 magnetic_moment_mub_per_fu=0.00 spacegroup="Cmcm (63)" dos_at_fermi_per_ev_cell=3.0 e_tot_ev_per_atom=-6.903 pbc="T T T"
Pm 2.489 2.707 5.278
Pm 2.489 -2.707 1.759
Ag 2.489 0.000 0.000
Ag 2.489 0.000 3.519
B 2.489 3.615 1.759
B 2.489 -3.615 5.278
O 2.489 2.809 0.573
O 2.489 2.809 2.946
O 1.205 0.151 5.278
O 1.205 -0.151 1.759
O 3.772 0.151 5.278
O 3.772 -0.151 1.759
O 2.489 -2.809 4.091
O 2.489 -2.809 6.465